Density functional theory data (PBE) for an optimized crystal structure of Dy2Si3Ir5.

```
Dy2Si3Ir5
1.0
4.029 0.000 -0.686
0.000 6.663 0.000
-0.014 0.000 12.087
Ir Si Dy
10 6 4
direct
0.401 0.407 0.802
0.599 0.907 0.198
0.132 0.207 0.264
0.706 0.428 0.412
0.943 0.092 0.887
0.294 0.928 0.588
0.057 0.592 0.113
0.709 0.024 0.419
0.868 0.707 0.736
0.291 0.524 0.581
0.232 0.226 0.465
0.046 0.958 0.092
0.954 0.458 0.908
0.389 0.030 0.779
0.768 0.726 0.535
0.611 0.530 0.221
0.477 0.755 0.955
0.523 0.255 0.045
0.824 0.239 0.649
0.176 0.739 0.351
```

Summary:
**Space-group type**: Cmc2_1 (36)
**E_form (uncorrected)**: -0.844 eV per atom
**Energy**: -156.44 eV for the cell shown

***

Density functional theory data (PBE) for an optimized crystal structure of Dy3Si3Ir2.

```
Dy3Si3Ir2
1.0
-1.228 1.272 5.405
-3.278 -7.193 0.948
12.320 -5.088 3.996
Dy Ir Si
12 8 12
direct
0.379 0.955 0.114
0.373 0.694 0.750
0.621 0.045 0.614
0.121 0.455 0.114
0.121 0.455 0.386
0.879 0.545 0.614
0.127 0.194 0.750
0.621 0.045 0.886
0.873 0.806 0.250
0.879 0.545 0.886
0.627 0.306 0.250
0.379 0.955 0.386
0.110 0.913 0.592
0.610 0.587 0.092
0.390 0.413 0.592
0.110 0.913 0.908
0.890 0.087 0.092
0.390 0.413 0.908
0.890 0.087 0.408
0.610 0.587 0.408
0.130 0.197 0.959
0.130 0.197 0.541
0.403 0.657 0.250
0.370 0.697 0.959
0.870 0.803 0.459
0.903 0.843 0.750
0.097 0.157 0.250
0.870 0.803 0.041
0.630 0.303 0.459
0.630 0.303 0.041
0.597 0.343 0.750
0.370 0.697 0.541
```

Summary:
**Space-group type**: Pnma (62)
**E_form (uncorrected)**: -0.980 eV per atom
**Energy**: -222.57 eV for the cell shown

***

Density functional theory data (PBE) for an optimized crystal structure of DySiIr.

```
DySiIr
1.0
-3.586 -1.268 0.585
1.115 -1.413 3.772
-1.448 3.897 -0.428
Ir Si Dy
1 1 1
direct
0.167 0.000 0.000
0.167 0.667 0.333
0.666 0.333 0.667
```

Summary:
**Space-group type**: P-6m2 (187)
**E_form (uncorrected)**: -0.931 eV per atom
**Energy**: -21.68 eV for the cell shown

***

Density functional theory data (PBE) for an optimized crystal structure of Dy2Si3Ir3.

```
Dy2Si3Ir3
1.0
-1.309 2.391 0.689
-0.868 -1.168 2.405
16.689 6.493 9.179
Si Dy Ir
3 2 3
direct
0.500 0.500 0.000
0.500 0.500 0.615
0.500 0.500 0.385
0.500 0.500 0.756
0.500 0.500 0.244
0.500 0.500 0.500
0.500 0.500 0.888
0.500 0.500 0.112
```

Summary:
**Space-group type**: P4/mmm (123)
**E_form (uncorrected)**: 0.690 eV per atom
**Energy**: -46.54 eV for the cell shown

***

Density functional theory data (PBE) for an optimized crystal structure of DySi3Ir6.

```
DySi3Ir6
1.0
-3.725 -3.389 -2.320
0.579 0.042 5.438
-1.788 6.515 0.553
Si Ir Dy
3 6 1
direct
0.658 0.288 0.979
0.319 0.704 0.982
0.261 0.120 0.337
0.760 0.390 0.668
0.789 0.085 0.306
0.218 0.887 0.644
0.622 0.518 0.243
0.293 0.420 0.711
0.199 0.644 0.280
0.880 0.945 0.849
```

Summary:
**Space-group type**: P1 (1)
**E_form (uncorrected)**: -0.620 eV per atom
**Energy**: -80.24 eV for the cell shown

***

Density functional theory data (PBE) for an optimized crystal structure of Dy4Si3Ir.

```
Dy4Si3Ir
1.0
-3.416 2.445 -0.604
-0.049 -0.989 -3.728
-6.330 -8.282 2.281
Ir Si Dy
1 3 4
direct
0.500 0.500 0.074
0.500 0.000 0.926
0.000 0.000 0.431
0.000 0.500 0.575
0.500 0.000 0.643
0.500 0.500 0.355
0.000 0.500 0.859
0.000 0.000 0.137
```

Summary:
**Space-group type**: Pmm2 (25)
**E_form (uncorrected)**: -0.834 eV per atom
**Energy**: -50.21 eV for the cell shown

***

Density functional theory data (PBE) for an optimized crystal structure of DySi3Ir3.

```
DySi3Ir3
1.0
6.844 0.000 0.000
3.422 5.927 0.000
3.422 1.976 6.480
Si Ir Dy
6 6 2
direct
0.906 0.198 0.278
0.618 0.906 0.278
0.094 0.802 0.722
0.382 0.094 0.722
0.802 0.382 0.722
0.198 0.618 0.278
0.523 0.246 0.345
0.887 0.523 0.345
0.246 0.887 0.345
0.754 0.113 0.655
0.113 0.477 0.655
0.477 0.754 0.655
0.335 0.335 0.996
0.665 0.665 0.004
```

Summary:
**Space-group type**: R-3 (148)
**E_form (uncorrected)**: -0.629 eV per atom
**Energy**: -103.71 eV for the cell shown

***

Density functional theory data (PBE) for an optimized crystal structure of Dy3Si2Ir3.

```
Dy3Si2Ir3
1.0
5.540 0.000 0.000
0.000 7.568 0.000
0.000 0.000 14.764
Ir Si Dy
12 8 12
direct
0.088 0.179 0.250
0.899 0.832 0.460
0.899 0.832 0.040
0.588 0.321 0.750
0.399 0.668 0.540
0.912 0.821 0.750
0.399 0.668 0.960
0.601 0.332 0.040
0.101 0.168 0.960
0.601 0.332 0.460
0.101 0.168 0.540
0.412 0.679 0.250
0.377 0.376 0.897
0.123 0.876 0.897
0.877 0.124 0.103
0.123 0.876 0.603
0.377 0.376 0.603
0.623 0.624 0.397
0.623 0.624 0.103
0.877 0.124 0.397
0.869 0.526 0.608
0.369 0.974 0.392
0.631 0.026 0.608
0.902 0.828 0.250
0.131 0.474 0.392
0.369 0.974 0.108
0.869 0.526 0.892
0.631 0.026 0.892
0.098 0.172 0.750
0.402 0.672 0.750
0.131 0.474 0.108
0.598 0.328 0.250
```

Summary:
**Space-group type**: Pnma (62)
**E_form (uncorrected)**: -1.033 eV per atom
**Energy**: -237.98 eV for the cell shown

***

Density functional theory data (PBE) for an optimized crystal structure of DySi3Ir3.

```
DySi3Ir3
1.0
6.536 0.000 0.000
0.000 6.536 0.000
0.000 0.000 6.536
Ir Dy Si
6 2 6
direct
0.250 0.000 0.500
0.000 0.500 0.250
0.500 0.750 0.000
0.500 0.250 0.000
0.000 0.500 0.750
0.750 0.000 0.500
0.000 0.000 0.000
0.500 0.500 0.500
0.250 0.500 0.000
0.000 0.750 0.500
0.500 0.000 0.250
0.500 0.000 0.750
0.000 0.250 0.500
0.750 0.500 0.000
```

Summary:
**Space-group type**: Pm-3n (223)
**E_form (uncorrected)**: -0.398 eV per atom
**Energy**: -100.48 eV for the cell shown

***

Density functional theory data (PBE) for an optimized crystal structure of Dy2Si9Ir3.

```
Dy2Si9Ir3
1.0
-3.489 -3.683 5.449
5.386 -3.541 -3.725
6.607 6.664 3.611
Si Ir Dy
18 6 4
direct
0.528 0.088 0.249
0.472 0.912 0.751
0.339 0.279 0.251
0.146 0.896 0.250
0.197 0.525 0.554
0.661 0.721 0.749
0.438 0.799 0.412
0.108 0.147 0.412
0.854 0.104 0.750
0.471 0.643 0.946
0.113 0.974 0.912
0.562 0.201 0.588
0.892 0.853 0.588
0.887 0.026 0.088
0.529 0.357 0.054
0.765 0.304 0.912
0.235 0.696 0.088
0.803 0.475 0.446
0.199 0.873 0.503
0.130 0.304 0.003
0.500 0.500 0.500
0.801 0.127 0.497
0.870 0.696 0.997
0.500 0.000 0.000
0.679 0.726 0.257
0.968 0.422 0.243
0.032 0.578 0.757
0.321 0.274 0.743
```

Summary:
**Space-group type**: C2/c (15)
**E_form (uncorrected)**: -0.423 eV per atom
**Energy**: -181.05 eV for the cell shown

***

Density functional theory data (PBE) for an optimized crystal structure of Dy3Si3Ir2.

```
Dy3Si3Ir2
1.0
-3.747 -1.807 -0.826
0.947 0.488 5.525
-6.071 12.623 -0.074
Ir Dy Si
4 6 6
direct
0.798 0.596 0.597
0.202 0.404 0.097
0.202 0.404 0.403
0.798 0.596 0.903
0.083 0.166 0.888
0.362 0.725 0.750
0.917 0.834 0.388
0.638 0.275 0.250
0.917 0.834 0.112
0.083 0.166 0.612
0.621 0.243 0.035
0.667 0.334 0.750
0.379 0.757 0.965
0.621 0.243 0.465
0.379 0.757 0.535
0.333 0.666 0.250
```

Summary:
**Space-group type**: Cmcm (63)
**E_form (uncorrected)**: -0.994 eV per atom
**Energy**: -111.50 eV for the cell shown

***

Density functional theory data (PBE) for an optimized crystal structure of Dy2Si4Ir3.

```
Dy2Si4Ir3
1.0
-4.954 1.538 2.142
-3.298 -4.855 -4.141
3.211 -5.792 4.233
Si Ir Dy
8 6 4
direct
0.312 0.250 0.125
0.320 0.476 0.639
0.188 0.750 0.875
0.820 0.024 0.639
0.680 0.524 0.361
0.688 0.750 0.875
0.180 0.976 0.361
0.812 0.250 0.125
0.021 0.750 0.543
0.500 0.500 0.000
0.479 0.250 0.457
0.000 0.000 0.000
0.521 0.750 0.543
0.979 0.250 0.457
0.394 0.094 0.787
0.106 0.594 0.213
0.606 0.906 0.213
0.894 0.406 0.787
```

Summary:
**Space-group type**: Cmce (64)
**E_form (uncorrected)**: -0.946 eV per atom
**Energy**: -131.98 eV for the cell shown